{
  "formula": "Ac2Cd3Ag6",
  "functional": "GGA-PBE",
  "state": "optimized geometry",
  "sg": "Cmmm, No. 65",
  "m_tot_mub_per_cell": 0.0,
  "e_form_ev_per_fu": -1.27,
  "cell": [[4.498, 0.000, 0.000], [0.000, 7.935, -1.717], [0.000, -0.835, 8.075]],
  "species": ["Ag", "Ag", "Ag", "Ag", "Ag", "Ag", "Cd", "Cd", "Cd", "Ac", "Ac"],
  "frac_coords": [[0.500, 0.666, 0.006], [0.500, 0.359, 0.359], [0.500, 0.994, 0.334], [0.500, 0.334, 0.994], [0.500, 0.641, 0.641], [0.500, 0.006, 0.666], [0.500, 0.000, 0.000], [0.000, 0.816, 0.816], [0.000, 0.184, 0.184], [0.000, 0.675, 0.325], [0.000, 0.325, 0.675]]
}


{
  "formula": "TlPdBr3",
  "functional": "GGA-PBE",
  "state": "optimized geometry",
  "sg": "Pm-3m, No. 221",
  "formation_energy_uncorrected_ev_per_atom": -0.50,
  "m_tot_mub_per_cell": 0.0,
  "cell": [[5.233, 0.000, 0.000], [0.000, 5.233, 0.000], [0.000, 0.000, 5.233]],
  "species": ["Br", "Br", "Br", "Pd", "Tl"],
  "frac_coords": [[0.000, 0.500, 0.000], [0.500, 0.000, 0.000], [0.000, 0.000, 0.500], [0.000, 0.000, 0.000], [0.500, 0.500, 0.500]]
}


{
  "formula": "NdSmDySc",
  "functional": "GGA-PBE",
  "state": "optimized geometry",
  "sg": "F-43m, No. 216",
  "m_tot_mub_per_cell": 0.0,
  "e_form_ev_per_fu": 0.43,
  "cell": [[5.611, 0.000, 0.000], [2.806, 4.859, 0.000], [2.806, 1.620, 4.581]],
  "species": ["Sc", "Nd", "Sm", "Dy"],
  "frac_coords": [[0.000, 0.000, 0.000], [0.750, 0.750, 0.750], [0.250, 0.250, 0.250], [0.500, 0.500, 0.500]]
}


{
  "formula": "CePrDyHo",
  "functional": "GGA-PBE",
  "state": "optimized geometry",
  "sg": "F-43m, No. 216",
  "m_tot_mub_per_cell": 0.8,
  "e_form_ev_per_fu": 0.67,
  "cell": [[5.699, 0.000, 0.000], [2.850, 4.936, 0.000], [2.850, 1.645, 4.653]],
  "species": ["Dy", "Ho", "Pr", "Ce"],
  "frac_coords": [[0.000, 0.000, 0.000], [0.500, 0.500, 0.500], [0.750, 0.750, 0.750], [0.250, 0.250, 0.250]]
}


{
  "formula": "Li2HgPb2",
  "functional": "GGA-PBE",
  "state": "optimized geometry",
  "sg": "Ibam, No. 72",
  "m_tot_mub_per_cell": 0.0,
  "e_form_ev_per_fu": -0.54,
  "cell": [[-0.074, 2.580, -5.397], [1.372, -6.656, -3.201], [-6.255, 1.068, 3.912]],
  "species": ["Pb", "Pb", "Pb", "Pb", "Li", "Li", "Li", "Li", "Hg", "Hg"],
  "frac_coords": [[0.600, 0.960, 0.201], [0.100, 0.241, 0.201], [0.400, 0.040, 0.799], [0.900, 0.759, 0.799], [0.156, 0.888, 0.311], [0.344, 0.577, 0.689], [0.656, 0.423, 0.311], [0.844, 0.112, 0.689], [0.250, 0.500, 0.000], [0.750, 0.500, 0.000]]
}


{
  "formula": "DyPu2Pa",
  "functional": "GGA-PBE",
  "state": "optimized geometry",
  "sg": "P4/mmm, No. 123",
  "m_tot_mub_per_cell": 10.8,
  "e_form_ev_per_fu": 0.45,
  "cell": [[3.347, 0.000, 0.000], [0.000, 3.347, 0.000], [0.000, 0.000, 9.304]],
  "species": ["Pu", "Pu", "Dy", "Pa"],
  "frac_coords": [[0.000, 0.000, 0.776], [0.000, 0.000, 0.224], [0.500, 0.500, 0.500], [0.500, 0.500, 0.000]]
}


{
  "formula": "Pm2Si",
  "functional": "GGA-PBE",
  "state": "optimized geometry",
  "sg": "I4/mmm, No. 139",
  "formation_energy_uncorrected_ev_per_atom": -0.34,
  "m_tot_mub_per_cell": 0.0,
  "cell": [[-3.473, 0.250, 1.866], [0.558, -3.603, 1.520], [3.669, 3.643, 2.157]],
  "species": ["Pm", "Pm", "Si"],
  "frac_coords": [[0.351, 0.351, 0.702], [0.649, 0.649, 0.298], [0.000, 0.000, 0.000]]
}


{
  "formula": "La2CeTc2",
  "functional": "GGA-PBE",
  "state": "optimized geometry",
  "sg": "Immm, No. 71",
  "m_tot_mub_per_cell": 0.0,
  "e_form_ev_per_fu": -0.34,
  "cell": [[3.978, 0.000, 1.695], [0.963, 5.193, 3.256], [-0.282, 0.487, 6.178]],
  "species": ["La", "La", "Tc", "Tc", "Ce"],
  "frac_coords": [[0.695, 0.805, 0.305], [0.305, 0.195, 0.695], [0.000, 0.244, 0.256], [0.000, 0.756, 0.744], [0.500, 0.500, 0.000]]
}